Record 1
The following is a DFT calculation (PBE) of crystalline CeThGe at its relaxed geometry.

E_form: -0.184 eV/atom
Total energy: -6.175 eV per atom
N(E_F): 6.3 states/eV per cell

The structure in CIF format:
```
data_CeThGe
_chemical_formula_sum 'Ce1 Th1 Ge1'
_space_group_name_H-M_alt 'P 3 m 1'
_space_group_IT_number 156
_cell_length_a 4.7123
_cell_length_b 4.7123
_cell_length_c 4.1234
_cell_angle_alpha 90.00
_cell_angle_beta 90.00
_cell_angle_gamma 120.00
loop_
_space_group_symop_operation_xyz
'x,y,z'
'-y,x-y,z'
'-x+y,-x,z'
'-y,-x,z'
'-x+y,y,z'
'x,x-y,z'
loop_
_atom_site_label
_atom_site_fract_x
_atom_site_fract_y
_atom_site_fract_z
Ce1 0.0000 0.0000 0.0000
Th1 0.6667 0.3333 0.4148
Ge1 0.3333 0.6667 0.7166
```

Record 2
The following is a DFT calculation (PBE) of crystalline CeThGe4 at its relaxed geometry.

E_form: -0.554 eV/atom
Total energy: -5.858 eV per atom
N(E_F): 13.4 states/eV per cell

The structure in CIF format:
```
data_CeThGe4
_chemical_formula_sum 'Ce2 Th2 Ge8'
_space_group_name_H-M_alt 'I -4 m 2'
_space_group_IT_number 119
_space_group_name_Hall 'I -4 -2'
_cell_length_a 4.0660
_cell_length_b 4.0660
_cell_length_c 16.5687
_cell_angle_alpha 90.00
_cell_angle_beta 90.00
_cell_angle_gamma 90.00
loop_
_atom_site_label
_atom_site_fract_x
_atom_site_fract_y
_atom_site_fract_z
Ce1 0.0000 0.0000 0.0000
Th1 0.0000 0.5000 0.2500
Ge1 0.0000 0.0000 0.4215
Ge2 0.0000 0.5000 0.6691
```